1.
First-principles (PBE-GGA) data for BeNiAg after structural relaxation, as listed in OQMD.

Cell lengths 3.8066, 3.8066, 3.8066 Å; angles 60.00, 60.00, 60.00 degrees
Last column: nearest neighbours and their distance in Å.
Fractional positions:
Ag: 0.2500 0.2500 0.2500  4 Be 2.33
Be: 0.0000 0.0000 0.0000  4 Ni 2.33, 4 Ag 2.33
Ni: 0.7500 0.7500 0.7500  4 Be 2.33

Summary:
Its space-group type is F-43m. For the energy above the most stable polymorph in this dataset, the calculation gives 0 meV/atom.

---

2.
First-principles (PBE-GGA) data for Zr4Nb2Ni3C3 after structural relaxation, as listed in OQMD.

Cell lengths 5.6940, 5.6940, 13.1097 Å; angles 102.90, 102.90, 60.05 degrees
Last column: nearest neighbours and their distance in Å.
Fractional positions:
C: 0.0000 0.5000 0.0000  2 Nb 2.14, 4 Zr 2.36
C: 0.6650 0.1696 0.0004  2 Nb 2.19, 4 Zr 2.32-2.36
C: 0.8304 0.3350 0.4996  2 Nb 2.19, 4 Zr 2.32-2.36
C: 0.5000 0.0000 0.5000  2 Nb 2.14, 4 Zr 2.36
C: 0.1696 0.6650 0.5004  2 Nb 2.19, 4 Zr 2.32-2.36
C: 0.3350 0.8304 0.9996  2 Nb 2.19, 4 Zr 2.32-2.36
Nb: 0.3541 0.5290 0.0842  3 C 2.14-2.19
Nb: 0.4710 0.6459 0.4158  3 C 2.14-2.19
Nb: 0.5290 0.3541 0.5842  3 C 2.14-2.19
Nb: 0.6459 0.4710 0.9158  3 C 2.14-2.19
Ni: 0.4194 0.8447 0.2492  2 Ni 2.56-2.61, 2 Nb 2.57, 4 Zr 2.76-2.81
Ni: 0.6742 0.3258 0.2500  2 Ni 2.56, 2 Nb 2.58, 4 Zr 2.75-2.83
Ni: 0.1553 0.5806 0.2508  2 Ni 2.56-2.61, 2 Nb 2.57, 4 Zr 2.76-2.81
Ni: 0.8447 0.4194 0.7492  2 Ni 2.56-2.61, 2 Nb 2.57, 4 Zr 2.76-2.81
Ni: 0.3258 0.6742 0.7500  2 Ni 2.56, 2 Nb 2.58, 4 Zr 2.75-2.83
Ni: 0.5806 0.1553 0.7508  2 Ni 2.56-2.61, 2 Nb 2.57, 4 Zr 2.76-2.81
Zr: 0.0438 0.1963 0.1082  3 C 2.32-2.36
Zr: 0.7030 0.8775 0.1085  3 C 2.32-2.36
Zr: 0.1225 0.2970 0.3915  3 C 2.32-2.36
Zr: 0.8037 0.9562 0.3918  3 C 2.32-2.36
Zr: 0.1963 0.0438 0.6082  3 C 2.32-2.36
Zr: 0.8775 0.7030 0.6085  3 C 2.32-2.36
Zr: 0.2970 0.1225 0.8915  3 C 2.32-2.36
Zr: 0.9562 0.8037 0.8918  3 C 2.32-2.36

Summary:
Its space-group type is C2/c. The value obtained for the final energy is -207.7 eV for the cell shown.

---

3.
First-principles (PBE-GGA) data for HfMgNiBi after structural relaxation, as listed in OQMD.

Cell lengths 4.8543, 4.8543, 4.8543 Å; angles 60.00, 60.00, 60.00 degrees
Last column: nearest neighbours and their distance in Å.
Fractional positions:
Bi: 0.0000 0.0000 0.0000  4 Ni 2.97, 4 Mg 2.97
Hf: 0.5000 0.5000 0.5000  4 Mg 2.97, 4 Ni 2.97
Mg: 0.2500 0.2500 0.2500  4 Hf 2.97, 4 Bi 2.97
Ni: 0.7500 0.7500 0.7500  4 Hf 2.97, 4 Bi 2.97

Summary:
Its space-group type is F-43m. For the energy above the most stable polymorph in this dataset, the calculation gives 0 meV/atom.

---

4.
First-principles (PBE-GGA) data for Pr4AsPO after structural relaxation, as listed in OQMD.

Cell lengths 8.6744, 8.6744, 8.6744 Å; angles 148.82, 148.82, 44.67 degrees
Last column: nearest neighbours and their distance in Å.
Fractional positions:
As: 0.6371 0.6371 0.0000  9 Pr 3.01-3.36
O: 0.0010 0.0010 0.0000  4 Pr 2.33
P: 0.3647 0.3647 0.0000  5 Pr 2.98-3.15
Pr: 0.1788 0.1788 0.0000  1 O 2.85, 1 P 2.98
Pr: 0.8249 0.8249 0.0000  1 O 2.83, 1 As 3.01
Pr: 0.9967 0.4967 0.5000  2 O 2.33
Pr: 0.4967 0.9967 0.5000  2 O 2.33

Summary:
Its space-group type is I4mm. The value obtained for the final energy is -44.2 eV for the cell shown.

---

5.
First-principles (PBE-GGA) data for LiNbSeS after structural relaxation, as listed in OQMD.

Cell lengths 3.4455, 3.4455, 13.2512 Å; angles 90.00, 90.00, 120.00 degrees
Last column: nearest neighbours and their distance in Å.
Fractional positions:
Li: 0.0000 0.0000 0.2596  3 S 2.57, 3 Se 2.65
Li: 0.0000 0.0000 0.7404  3 S 2.57, 3 Se 2.65
Nb: 0.0000 0.0000 0.0000  6 Se 2.61
Nb: 0.0000 0.0000 0.5000  6 S 2.53
S: 0.6667 0.3333 0.3824  3 Nb 2.53, 3 Li 2.57
S: 0.6667 0.3333 0.6176  3 Nb 2.53, 3 Li 2.57
Se: 0.3333 0.6667 0.1278  3 Nb 2.61, 3 Li 2.65
Se: 0.3333 0.6667 0.8722  3 Nb 2.61, 3 Li 2.65

Summary:
Its space-group type is P-6m2. For the energy above the most stable polymorph in this dataset, the calculation gives 4 meV/atom.

---

6.
First-principles (PBE-GGA) data for NaHoHgTe3 after structural relaxation, as listed in OQMD.

Cell lengths 8.6562, 4.4018, 10.6151 Å; angles 90.00, 104.50, 90.00 degrees
Last column: nearest neighbours and their distance in Å.
Fractional positions:
Hg: 0.9101 0.7500 0.3927  4 Te 2.80-3.11
Hg: 0.0899 0.2500 0.6073  4 Te 2.80-3.11
Ho: 0.6749 0.2500 0.1468  6 Te 3.06-3.24
Ho: 0.3251 0.7500 0.8532  6 Te 3.06-3.24
Na: 0.2185 0.2500 0.2550  4 Te 3.23-3.36
Na: 0.7815 0.7500 0.7450  4 Te 3.23-3.36
Te: 0.9261 0.7500 0.1328  1 Hg 2.80, 2 Ho 3.12
Te: 0.4311 0.7500 0.1514  3 Ho 3.06-3.07, 2 Na 3.23
Te: 0.7303 0.2500 0.4606  3 Hg 2.89-3.11
Te: 0.2697 0.7500 0.5394  3 Hg 2.89-3.11
Te: 0.5689 0.2500 0.8486  3 Ho 3.06-3.07, 2 Na 3.23
Te: 0.0739 0.2500 0.8672  1 Hg 2.80, 2 Ho 3.12

Summary:
Its space-group type is P2_1/m. For the energy above the most stable polymorph in this dataset, the calculation gives 3 meV/atom.

---

7.
First-principles (PBE-GGA) data for TlCu2Se2S after structural relaxation, as listed in OQMD.

Cell lengths 6.9918, 6.9918, 6.9495 Å; angles 99.46, 99.46, 119.93 degrees
Last column: nearest neighbours and their distance in Å.
Fractional positions:
Cu: 0.3789 0.8735 0.3860  1 S 2.27, 3 Se 2.41-2.42
Cu: 0.0590 0.2248 0.3873  1 S 2.28, 3 Se 2.40-2.41
Cu: 0.8735 0.3789 0.8860  1 S 2.27, 3 Se 2.41-2.42
Cu: 0.2248 0.0590 0.8873  1 S 2.28, 3 Se 2.40-2.41
S: 0.3867 0.5832 0.4855  2 Cu 2.27-2.28
S: 0.5832 0.3867 0.9855  2 Cu 2.27-2.28
Se: 0.2201 0.7598 0.0209  3 Cu 2.41-2.42, 1 Tl 2.70
Se: 0.9606 0.1253 0.0211  3 Cu 2.40-2.41
Se: 0.7598 0.2201 0.5209  3 Cu 2.41-2.42, 1 Tl 2.70
Se: 0.1253 0.9606 0.5211  3 Cu 2.40-2.41
Tl: 0.7210 0.5451 0.3892  2 S 2.66, 2 Se 2.70-2.71
Tl: 0.5451 0.7210 0.8892  2 S 2.66, 2 Se 2.70-2.71

Summary:
Its space-group type is Cc. The value obtained for the final energy is -44.4 eV for the cell shown.

---

8.
First-principles (PBE-GGA) data for TaNiPdPb after structural relaxation, as listed in OQMD.

Cell lengths 4.5805, 4.5805, 4.5805 Å; angles 60.00, 60.00, 60.00 degrees
Last column: nearest neighbours and their distance in Å.
Fractional positions:
Ni: 0.7500 0.7500 0.7500  4 Ta 2.80, 4 Pb 2.80
Pb: 0.0000 0.0000 0.0000  4 Ni 2.80, 4 Pd 2.80
Pd: 0.2500 0.2500 0.2500  4 Ta 2.80, 4 Pb 2.80
Ta: 0.5000 0.5000 0.5000  4 Ni 2.80, 4 Pd 2.80

Summary:
Its space-group type is F-43m. For the energy above the most stable polymorph in this dataset, the calculation gives 0 meV/atom.

---

9.
First-principles (PBE-GGA) data for LuZrTlFe after structural relaxation, as listed in OQMD.

Cell lengths 4.7977, 4.7977, 4.7977 Å; angles 60.00, 60.00, 60.00 degrees
Last column: nearest neighbours and their distance in Å.
Fractional positions:
Fe: 0.7500 0.7500 0.7500  4 Tl 2.94, 4 Zr 2.94
Lu: 0.2500 0.2500 0.2500  4 Zr 2.94, 4 Tl 2.94
Tl: 0.0000 0.0000 0.0000  4 Fe 2.94, 4 Lu 2.94
Zr: 0.5000 0.5000 0.5000  4 Lu 2.94, 4 Fe 2.94

Summary:
Its space-group type is F-43m. For the energy above the most stable polymorph in this dataset, the calculation gives 0 meV/atom.

---

10.
First-principles (PBE-GGA) data for AgTePtO after structural relaxation, as listed in OQMD.

Cell lengths 3.9694, 3.9694, 8.8521 Å; angles 90.00, 90.00, 90.00 degrees
Last column: nearest neighbours and their distance in Å.
Fractional positions:
Ag: 0.7500 0.2500 0.0000  4 Ag 2.81, 4 Pt 2.94
Ag: 0.2500 0.7500 0.0000  4 Ag 2.81, 4 Pt 2.94
O: 0.7500 0.7500 0.4866  1 Te 1.87
O: 0.2500 0.2500 0.5134  1 Te 1.87
Pt: 0.7500 0.7500 0.2446  1 O 2.14
Pt: 0.2500 0.2500 0.7554  1 O 2.14
Te: 0.2500 0.2500 0.3021  1 O 1.87
Te: 0.7500 0.7500 0.6979  1 O 1.87

Summary:
Its space-group type is P4/nmm. For the energy above the most stable polymorph in this dataset, the calculation gives 144 meV/atom.

---

11.
First-principles (PBE-GGA) data for BaGd after structural relaxation, as listed in OQMD.

Cell lengths 3.8915, 3.8915, 6.4746 Å; angles 90.00, 90.00, 120.00 degrees
Last column: nearest neighbours and their distance in Å.
Fractional positions:
Ba: 0.6667 0.3333 0.7500  6 Ba 3.89, 6 Gd 3.94
Gd: 0.3333 0.6667 0.2500  6 Gd 3.89, 6 Ba 3.94

Summary:
Its space-group type is P-6m2. For the energy above the most stable polymorph in this dataset, the calculation gives 15 meV/atom.

---

12.
First-principles (PBE-GGA) data for BaHfIr after structural relaxation, as listed in OQMD.

Cell lengths 4.9022, 4.9022, 4.9022 Å; angles 60.00, 60.00, 60.00 degrees
Last column: nearest neighbours and their distance in Å.
Fractional positions:
Ba: 0.2500 0.2500 0.2500  4 Ir 3.00
Hf: 0.7500 0.7500 0.7500  4 Ir 3.00
Ir: 0.0000 0.0000 0.0000  4 Hf 3.00, 4 Ba 3.00

Summary:
Its space-group type is F-43m. For the energy above the most stable polymorph in this dataset, the calculation gives 0 meV/atom.

---

Repeat the seventh record exactly.
First-principles (PBE-GGA) data for TlCu2Se2S after structural relaxation, as listed in OQMD.

Cell lengths 6.9918, 6.9918, 6.9495 Å; angles 99.46, 99.46, 119.93 degrees
Last column: nearest neighbours and their distance in Å.
Fractional positions:
Cu: 0.3789 0.8735 0.3860  1 S 2.27, 3 Se 2.41-2.42
Cu: 0.0590 0.2248 0.3873  1 S 2.28, 3 Se 2.40-2.41
Cu: 0.8735 0.3789 0.8860  1 S 2.27, 3 Se 2.41-2.42
Cu: 0.2248 0.0590 0.8873  1 S 2.28, 3 Se 2.40-2.41
S: 0.3867 0.5832 0.4855  2 Cu 2.27-2.28
S: 0.5832 0.3867 0.9855  2 Cu 2.27-2.28
Se: 0.2201 0.7598 0.0209  3 Cu 2.41-2.42, 1 Tl 2.70
Se: 0.9606 0.1253 0.0211  3 Cu 2.40-2.41
Se: 0.7598 0.2201 0.5209  3 Cu 2.41-2.42, 1 Tl 2.70
Se: 0.1253 0.9606 0.5211  3 Cu 2.40-2.41
Tl: 0.7210 0.5451 0.3892  2 S 2.66, 2 Se 2.70-2.71
Tl: 0.5451 0.7210 0.8892  2 S 2.66, 2 Se 2.70-2.71

Summary:
Its space-group type is Cc. The value obtained for the final energy is -44.4 eV for the cell shown.